Below is a relaxed Zr6Au3C crystal, with properties calculated at the GGA-PBE level.

Values from the calculation:
- energy relative to the elements (eV/atom) = -0.408
- symmetry = P2_1/c
- magnetic moment (Bohr magnetons per cell) = 0.000

Structure (POSCAR):
```
Zr6Au3C
1.0
5.934 0.000 0.154
0.000 7.371 0.000
0.313 0.000 9.424
Zr Au C
12 6 2
Cartesian
4.256 1.044 9.022 Zr
3.839 1.612 5.415 Zr
3.956 3.360 2.685 Zr
2.290 4.011 6.893 Zr
2.407 5.760 4.163 Zr
1.990 6.327 0.556 Zr
1.133 2.642 4.233 Zr
0.716 2.074 0.626 Zr
1.146 0.325 7.320 Zr
5.101 7.046 2.258 Zr
5.530 5.297 8.952 Zr
5.113 4.730 5.345 Zr
3.706 6.524 6.991 Au
2.967 3.686 0.077 Au
2.541 0.847 2.588 Au
0.583 4.533 2.202 Au
0.156 0.000 4.712 Au
5.664 2.839 7.377 Au
3.123 3.686 4.789 C
0.000 0.000 0.000 C
```


Below is a relaxed CuNi2Os crystal, with properties calculated at the GGA-PBE level.

Values from the calculation:
- energy relative to the elements (eV/atom) = 0.206
- symmetry = Pmm2
- magnetic moment (Bohr magnetons per cell) = 0.002

Structure (POSCAR):
```
CuNi2Os
1.0
-2.234 -1.205 -0.345
1.794 -3.200 -0.438
-0.312 -0.865 5.036
Cu Ni Os
1 2 1
Cartesian
-0.457 -2.861 3.442 Cu
-0.311 -0.861 5.018 Ni
-0.300 -2.423 0.894 Ni
-0.152 -0.421 2.453 Os
```


Below is a relaxed Al2BrCl crystal, with properties calculated at the GGA-PBE level.

Values from the calculation:
- symmetry = P2/m
- magnetic moment (Bohr magnetons per cell) = 0.000
- formation energy from raw total energies (kJ/mol of formula units) = -94.0

Structure (POSCAR):
```
Al2BrCl
1.0
3.489 0.000 0.000
0.000 5.295 -0.703
0.000 -1.707 7.088
Al Br Cl
2 1 1
Cartesian
0.000 -0.683 6.407 Al
0.000 0.770 3.874 Al
1.744 0.897 1.596 Br
1.744 2.691 4.789 Cl
```


Below is a relaxed Li2PuAgBr6 crystal, with properties calculated at the GGA-PBE level.

Values from the calculation:
- symmetry = C2/c
- magnetic moment (Bohr magnetons per cell) = 10.000
- formation energy from raw total energies (kJ/mol of formula units) = -1203.2

Structure (POSCAR):
```
Li2PuAgBr6
1.0
7.205 -0.395 -0.410
1.732 9.294 0.580
1.732 0.236 9.310
Li Pu Ag Br
4 2 2 12
Cartesian
3.820 7.182 5.913 Li
3.247 3.690 2.289 Li
6.850 1.954 3.568 Li
7.423 5.445 7.191 Li
3.534 8.274 1.366 Pu
7.136 0.861 8.114 Pu
3.534 3.413 6.051 Ag
7.136 5.723 3.430 Ag
3.933 9.062 8.093 Br
3.134 1.581 0.330 Br
6.737 0.073 1.388 Br
7.536 7.554 9.151 Br
4.988 7.846 3.746 Br
2.080 5.880 1.706 Br
5.682 1.289 5.735 Br
8.590 3.255 7.775 Br
8.538 6.719 5.373 Br
5.734 3.818 2.362 Br
2.132 2.416 4.108 Br
4.936 5.317 7.118 Br
```


Below is a relaxed TaTlPPd2 crystal, with properties calculated at the GGA-PBE level.

Values from the calculation:
- energy relative to the elements (eV/atom) = -0.012
- symmetry = P4/mmm
- magnetic moment (Bohr magnetons per cell) = 0.000

Structure (POSCAR):
```
TaTlPPd2
1.0
4.512 0.000 0.000
0.000 4.729 0.000
0.000 0.000 4.512
P Tl Pd Ta
1 1 2 1
Cartesian
0.000 0.000 0.000 P
2.256 2.365 2.256 Tl
0.000 0.000 2.256 Pd
2.256 0.000 0.000 Pd
0.000 2.365 0.000 Ta
```


Below is a relaxed Cs2MoCl5 crystal, with properties calculated at the GGA-PBE level.

Values from the calculation:
- symmetry = I4mm
- magnetic moment (Bohr magnetons per cell) = 3.000
- formation energy from raw total energies (kJ/mol of formula units) = -1086.0

Structure (POSCAR):
```
Cs2MoCl5
1.0
6.518 0.314 -3.434
-4.226 6.022 -0.496
0.220 -0.314 7.364
Cs Mo Cl
2 1 5
Cartesian
2.398 1.384 3.630 Cs
0.175 4.552 -0.300 Cs
-0.084 0.120 0.144 Mo
0.573 4.571 3.361 Cl
-3.207 4.571 1.156 Cl
-0.713 1.016 5.565 Cl
2.025 1.330 -0.073 Cl
-1.036 1.477 1.777 Cl
```


Below is a relaxed Si2Ru2Se crystal, with properties calculated at the GGA-PBE level.

Values from the calculation:
- symmetry = I4/mmm
- magnetic moment (Bohr magnetons per cell) = 0.000
- formation energy from raw total energies (kJ/mol of formula units) = -116.5

Structure (POSCAR):
```
Si2Ru2Se
1.0
3.554 0.000 0.000
0.000 3.554 0.000
1.777 1.777 6.086
Ru Si Se
2 2 1
Cartesian
1.777 1.777 1.432 Ru
3.554 3.554 4.654 Ru
3.554 1.777 3.043 Si
1.777 3.554 3.043 Si
0.000 0.000 0.000 Se
```


Below is a relaxed MgTi2O4 crystal, with properties calculated at the GGA-PBE level.

Values from the calculation:
- symmetry = Imma
- magnetic moment (Bohr magnetons per cell) = 0.002
- formation energy from raw total energies (kJ/mol of formula units) = -1848.2

Structure (POSCAR):
```
MgTi2O4
1.0
-4.902 -3.019 -1.518
-2.987 2.832 4.301
2.880 3.074 -4.206
Mg Ti O
2 4 8
Cartesian
-2.504 1.444 -0.711 Mg
-2.451 -1.509 -0.759 Mg
0.000 0.000 0.000 Ti
-1.493 1.416 2.151 Ti
-1.011 0.028 -2.862 Ti
1.440 1.537 -2.103 Ti
-4.503 1.542 -0.005 O
-1.927 -0.045 0.661 O
-1.564 1.372 -4.263 O
-2.082 2.906 0.745 O
-3.444 1.516 2.840 O
-3.081 2.933 -2.084 O
-2.926 -0.018 -2.168 O
-0.505 1.345 -1.418 O
```


Below is a relaxed AgPtSe crystal, with properties calculated at the GGA-PBE level.

Values from the calculation:
- symmetry = P-6m2
- magnetic moment (Bohr magnetons per cell) = 0.000
- formation energy from raw total energies (kJ/mol of formula units) = 29.3

Structure (POSCAR):
```
AgPtSe
1.0
-3.473 2.425 -0.697
-0.448 -4.071 1.288
0.065 1.084 3.448
Ag Pt Se
1 1 1
Cartesian
0.065 1.083 3.447 Ag
-2.432 0.802 1.688 Pt
-1.424 -1.363 2.351 Se
```


Below is a relaxed Ni3RuRh4 crystal, with properties calculated at the GGA-PBE level.

Values from the calculation:
- energy relative to the elements (eV/atom) = 0.075
- symmetry = Pmn2_1
- magnetic moment (Bohr magnetons per cell) = 4.051

Structure (POSCAR):
```
Ni3RuRh4
1.0
4.594 0.000 0.000
0.000 5.312 0.000
0.000 0.000 8.585
Ni Rh Ru
6 8 2
Cartesian
3.555 3.309 0.000 Ni
0.499 3.303 2.161 Ni
2.796 2.010 2.131 Ni
1.258 2.003 4.292 Ni
2.796 2.010 6.454 Ni
0.499 3.303 6.424 Ni
1.201 4.633 0.000 Rh
1.267 2.034 0.000 Rh
0.500 0.705 2.167 Rh
2.797 4.607 2.125 Rh
3.564 3.278 4.292 Rh
3.498 0.679 4.292 Rh
2.797 4.607 6.460 Rh
0.500 0.705 6.417 Rh
3.533 0.717 0.000 Ru
1.236 4.595 4.292 Ru
```


Below is a relaxed PmHfTh2 crystal, with properties calculated at the GGA-PBE level.

Values from the calculation:
- energy relative to the elements (eV/atom) = 0.395
- symmetry = R-3m
- magnetic moment (Bohr magnetons per cell) = 0.000

Structure (POSCAR):
```
PmHfTh2
1.0
3.357 0.000 0.000
1.678 2.907 0.000
1.678 0.969 12.424
Hf Th Pm
1 2 1
Cartesian
0.000 0.000 0.000 Hf
1.678 0.969 9.384 Th
5.035 2.907 3.039 Th
3.357 1.938 6.212 Pm
```


Below is a relaxed LaGa2Ni crystal, with properties calculated at the GGA-PBE level.

Values from the calculation:
- energy relative to the elements (eV/atom) = -0.280
- symmetry = Fm-3m
- magnetic moment (Bohr magnetons per cell) = 0.000

Structure (POSCAR):
```
LaGa2Ni
1.0
-2.515 -2.780 2.991
-4.794 0.104 -0.090
-2.448 -3.755 -1.704
Ni Ga La
1 2 1
Cartesian
0.000 0.000 0.000 Ni
-2.439 -1.608 0.299 Ga
-7.318 -4.824 0.898 Ga
-4.878 -3.216 0.599 La
```